Record 1
# GGA-PBE MnW2C, relaxed
data_MnW2C
_chemical_formula_sum 'Mn4 W8 C4'
_cell_length_a 7.233
_cell_length_b 7.233
_cell_length_c 4.065
_cell_angle_alpha 90.00
_cell_angle_beta 90.00
_cell_angle_gamma 90.00
_symmetry_space_group_name_H-M 'I -4 2 d'
_symmetry_Int_Tables_number 122
_symmetry_space_group_name_Hall 'I -4 2bw'
loop_
_atom_site_label
_atom_site_fract_x
_atom_site_fract_y
_atom_site_fract_z
Mn1 0.000 0.000 0.000
W1 0.130 0.250 0.625
C1 0.000 0.000 0.500
# Polymorph energy (0 for the lowest one) = 0 meV/atom
# ΔE_f = 416 meV/atom
# Calculated volume = 13.3 Å³ per atom

Record 2
# GGA-PBE ZnIn3Hg, relaxed
data_ZnIn3Hg
_chemical_formula_sum 'Zn4 In12 Hg4'
_cell_length_a 8.193
_cell_length_b 5.650
_cell_length_c 10.950
_cell_angle_alpha 90.00
_cell_angle_beta 100.91
_cell_angle_gamma 90.00
_symmetry_space_group_name_H-M 'P 1 21/c 1'
_symmetry_Int_Tables_number 14
loop_
_symmetry_equiv_pos_as_xyz
'x,y,z'
'-x,-y,-z'
'-x,y+1/2,-z+1/2'
'x,-y+1/2,z+1/2'
loop_
_atom_site_label
_atom_site_fract_x
_atom_site_fract_y
_atom_site_fract_z
Zn1 0.047 0.147 0.089
In1 0.005 0.128 0.344
In2 0.318 0.527 0.398
In3 0.338 0.014 0.563
Hg1 0.352 0.505 0.726
# Polymorph energy (0 for the lowest one) = 0 meV/atom
# ΔE_f = 49 meV/atom
# Calculated volume = 24.9 Å³ per atom

Record 3
# GGA-PBE CaPm3Dy2S6, relaxed
data_CaPm3Dy2S6
_chemical_formula_sum 'Ca2 Pm6 Dy4 S12'
_cell_length_a 6.872
_cell_length_b 11.911
_cell_length_c 6.947
_cell_angle_alpha 90.00
_cell_angle_beta 109.15
_cell_angle_gamma 90.00
_symmetry_space_group_name_H-M 'C 1 2/m 1'
_symmetry_Int_Tables_number 12
loop_
_symmetry_equiv_pos_as_xyz
'x,y,z'
'-x,-y,-z'
'-x,y,-z'
'x,-y,z'
'x+1/2,y+1/2,z'
'-x+1/2,-y+1/2,-z'
'-x+1/2,y+1/2,-z'
'x+1/2,-y+1/2,z'
loop_
_atom_site_label
_atom_site_fract_x
_atom_site_fract_y
_atom_site_fract_z
Ca1 0.000 0.000 0.000
Pm1 0.000 0.165 0.500
Pm2 0.000 0.500 0.500
Dy1 0.000 0.333 0.000
S1 0.244 0.500 0.236
S2 0.247 0.168 0.240
# Calculated volume = 22.4 Å³ per atom
# Energy relative to the elements, uncorrected = -2.031 eV per atom

Record 4
# GGA-PBE GdErScGa, relaxed
data_GdErScGa
_chemical_formula_sum 'Gd4 Er4 Sc4 Ga4'
_cell_length_a 7.354
_cell_length_b 7.354
_cell_length_c 7.354
_cell_angle_alpha 90.00
_cell_angle_beta 90.00
_cell_angle_gamma 90.00
_symmetry_space_group_name_H-M 'F -4 3 m'
_symmetry_Int_Tables_number 216
_symmetry_space_group_name_Hall 'F -4 2 3'
loop_
_atom_site_label
_atom_site_fract_x
_atom_site_fract_y
_atom_site_fract_z
Gd1 0.000 0.000 0.000
Er1 0.000 0.000 0.500
Sc1 0.250 0.250 0.250
Ga1 0.250 0.250 0.750
# ΔE_f = -150 meV/atom
# Calculated volume = 24.9 Å³ per atom

Record 5
# GGA-PBE RbMgN2, relaxed
data_RbMgN2
_chemical_formula_sum 'Rb3 Mg3 N6'
_cell_length_a 3.5776
_cell_length_b 3.5776
_cell_length_c 21.0074
_cell_angle_alpha 90.00
_cell_angle_beta 90.00
_cell_angle_gamma 120.00
_symmetry_space_group_name_H-M 'R -3 m'
_symmetry_Int_Tables_number 166
_symmetry_space_group_name_Hall '-R 3 2"'
loop_
_atom_site_label
_atom_site_fract_x
_atom_site_fract_y
_atom_site_fract_z
Rb1 0.0000 0.0000 0.0000
Mg1 0.0000 0.0000 0.5000
N1 0.0000 0.0000 0.1261
# Calculated volume = 19.4 Å³ per atom
# Energy relative to the elements, uncorrected = 0.983 eV per atom

Record 6
# GGA-PBE DyTlAgTe2, relaxed
data_DyTlAgTe2
_chemical_formula_sum 'Dy2 Tl2 Ag2 Te4'
_cell_length_a 8.193
_cell_length_b 5.018
_cell_length_c 8.363
_cell_angle_alpha 90.00
_cell_angle_beta 98.84
_cell_angle_gamma 90.00
_symmetry_space_group_name_H-M 'P 1 2/c 1'
_symmetry_Int_Tables_number 13
loop_
_symmetry_equiv_pos_as_xyz
'x,y,z'
'-x,-y,-z'
'-x,y,-z+1/2'
'x,-y,z+1/2'
loop_
_atom_site_label
_atom_site_fract_x
_atom_site_fract_y
_atom_site_fract_z
Dy1 0.000 0.005 0.250
Tl1 0.500 0.365 0.750
Ag1 0.000 0.500 0.000
Te1 0.260 0.126 0.038
# Calculated volume = 34.0 Å³ per atom
# Energy relative to the elements, uncorrected = -0.530 eV per atom

Record 7
# GGA-PBE CdTc2W, relaxed
data_CdTc2W
_chemical_formula_sum 'Cd4 Tc8 W4'
_cell_length_a 6.373
_cell_length_b 6.373
_cell_length_c 6.373
_cell_angle_alpha 90.00
_cell_angle_beta 90.00
_cell_angle_gamma 90.00
_symmetry_space_group_name_H-M 'F -4 3 m'
_symmetry_Int_Tables_number 216
_symmetry_space_group_name_Hall 'F -4 2 3'
loop_
_atom_site_label
_atom_site_fract_x
_atom_site_fract_y
_atom_site_fract_z
Cd1 0.000 0.000 0.000
Tc1 0.000 0.000 0.500
Tc2 0.250 0.250 0.250
W1 0.250 0.250 0.750
# ΔE_f = 660 meV/atom
# Calculated volume = 16.2 Å³ per atom

Record 8
# GGA-PBE CdBSbO5, relaxed
data_CdBSbO5
_chemical_formula_sum 'Cd4 B4 Sb4 O20'
_cell_length_a 6.581
_cell_length_b 8.401
_cell_length_c 7.191
_cell_angle_alpha 90.00
_cell_angle_beta 115.74
_cell_angle_gamma 90.00
_symmetry_space_group_name_H-M 'C 1 2/c 1'
_symmetry_Int_Tables_number 15
loop_
_symmetry_equiv_pos_as_xyz
'x,y,z'
'-x,-y,-z'
'-x,y,-z+1/2'
'x,-y,z+1/2'
'x+1/2,y+1/2,z'
'-x+1/2,-y+1/2,-z'
'-x+1/2,y+1/2,-z+1/2'
'x+1/2,-y+1/2,z+1/2'
loop_
_atom_site_label
_atom_site_fract_x
_atom_site_fract_y
_atom_site_fract_z
Cd1 0.000 0.153 0.250
B1 0.000 0.187 0.750
Sb1 0.000 0.500 0.000
O1 0.000 0.408 0.250
O2 0.102 0.286 0.637
O3 0.175 0.074 0.903
# Calculated volume = 11.2 Å³ per atom
# Energy relative to the elements, uncorrected = -1.594 eV per atom

Record 9
# GGA-PBE Ca3Bi2I, relaxed
data_Ca3Bi2I
_chemical_formula_sum 'Ca24 Bi16 I8'
_cell_length_a 6.539
_cell_length_b 16.817
_cell_length_c 16.140
_cell_angle_alpha 90.00
_cell_angle_beta 101.45
_cell_angle_gamma 90.00
_symmetry_space_group_name_H-M 'C 1 2/c 1'
_symmetry_Int_Tables_number 15
loop_
_symmetry_equiv_pos_as_xyz
'x,y,z'
'-x,-y,-z'
'-x,y,-z+1/2'
'x,-y,z+1/2'
'x+1/2,y+1/2,z'
'-x+1/2,-y+1/2,-z'
'-x+1/2,y+1/2,-z+1/2'
'x+1/2,-y+1/2,z+1/2'
loop_
_atom_site_label
_atom_site_fract_x
_atom_site_fract_y
_atom_site_fract_z
Ca1 0.000 0.007 0.250
Ca2 0.000 0.365 0.250
Ca3 0.213 0.290 0.878
Ca4 0.233 0.082 0.492
Bi1 0.183 0.199 0.329
Bi2 0.227 0.108 0.921
I1 0.171 0.477 0.852
# Calculated volume = 36.2 Å³ per atom
# Energy relative to the elements, uncorrected = -0.830 eV per atom

Record 10
# GGA-PBE PPbSe3, relaxed
data_PPbSe3
_chemical_formula_sum 'P4 Pb4 Se12'
_cell_length_a 7.122
_cell_length_b 7.792
_cell_length_c 11.931
_cell_angle_alpha 90.00
_cell_angle_beta 124.70
_cell_angle_gamma 90.00
_symmetry_space_group_name_H-M 'P 1 21/c 1'
_symmetry_Int_Tables_number 14
loop_
_symmetry_equiv_pos_as_xyz
'x,y,z'
'-x,-y,-z'
'-x,y+1/2,-z+1/2'
'x,-y+1/2,z+1/2'
loop_
_atom_site_label
_atom_site_fract_x
_atom_site_fract_y
_atom_site_fract_z
P1 0.123 0.107 0.063
Pb1 0.217 0.618 0.248
Se1 0.105 0.693 0.943
Se2 0.271 0.202 0.954
Se3 0.376 0.501 0.767
# Polymorph energy (0 for the lowest one) = 0 meV/atom
# Calculated volume = 27.2 Å³ per atom
# Energy relative to the elements, uncorrected = -0.321 eV per atom

Record 11
# GGA-PBE GdErCd, relaxed
data_GdErCd
_chemical_formula_sum 'Gd2 Er2 Cd2'
_cell_length_a 3.611
_cell_length_b 3.611
_cell_length_c 13.039
_cell_angle_alpha 90.00
_cell_angle_beta 90.00
_cell_angle_gamma 90.00
_symmetry_space_group_name_H-M 'I 4 m m'
_symmetry_Int_Tables_number 107
_symmetry_space_group_name_Hall 'I 4 -2'
loop_
_atom_site_label
_atom_site_fract_x
_atom_site_fract_y
_atom_site_fract_z
Gd1 0.000 0.000 0.000
Er1 0.000 0.000 0.312
Cd1 0.000 0.000 0.662
# Polymorph energy (0 for the lowest one) = 0 meV/atom
# ΔE_f = -208 meV/atom
# Calculated volume = 28.3 Å³ per atom

Record 12
# GGA-PBE Cr2PbW, relaxed
data_Cr2PbW
_chemical_formula_sum 'Cr4 Pb2 W2'
_cell_length_a 8.726
_cell_length_b 3.114
_cell_length_c 5.001
_cell_angle_alpha 90.00
_cell_angle_beta 102.89
_cell_angle_gamma 90.00
_symmetry_space_group_name_H-M 'C 1 2/m 1'
_symmetry_Int_Tables_number 12
loop_
_symmetry_equiv_pos_as_xyz
'x,y,z'
'-x,-y,-z'
'-x,y,-z'
'x,-y,z'
'x+1/2,y+1/2,z'
'-x+1/2,-y+1/2,-z'
'-x+1/2,y+1/2,-z'
'x+1/2,-y+1/2,z'
loop_
_atom_site_label
_atom_site_fract_x
_atom_site_fract_y
_atom_site_fract_z
Cr1 0.235 0.000 0.188
Pb1 0.000 0.000 0.500
W1 0.000 0.500 0.000
# ΔE_f = 788 meV/atom
# Calculated volume = 16.6 Å³ per atom